(1)
# PBE YPuZrO6, optimized geometry
data_YPuZrO6
_space_group_name_H-M_alt 'P 1'
_space_group_IT_number 1
_cell_length_a 5.6247
_cell_length_b 5.6247
_cell_length_c 9.5445
_cell_angle_alpha 90.00
_cell_angle_beta 90.00
_cell_angle_gamma 120.00
loop_
_space_group_symop_operation_xyz
'x,y,z'
loop_
_atom_site_label
_atom_site_type_symbol
_atom_site_fract_x
_atom_site_fract_y
_atom_site_fract_z
O1 O 0.3484 0.3467 0.8648
Zr1 Zr 0.6667 0.3333 0.7500
O2 O 0.0016 0.6533 0.3648
O3 O 0.9984 0.3467 0.6352
O4 O 0.3467 0.3484 0.3648
Zr2 Zr 0.3333 0.6667 0.2500
Pu1 Pu 0.3333 0.6667 0.7500
Pu2 Pu 0.6667 0.3333 0.2500
O5 O 0.6516 0.6533 0.1352
O6 O 0.6533 0.6516 0.6352
O7 O 0.9984 0.6516 0.8648
Y1 Y 0.0000 0.0000 0.0000
O8 O 0.6516 0.9984 0.3648
O9 O 0.3467 0.9984 0.1352
O10 O 0.6533 0.0016 0.8648
O11 O 0.0016 0.3484 0.1352
Y2 Y 0.0000 0.0000 0.5000
O12 O 0.3484 0.0016 0.6352
# uncorrected energy = -174.0 eV for the cell shown
# ΔE_f (raw) = -27.925 eV/f.u.
# crystal system = trigonal

(2)
# PBE AcTlN, optimized geometry
data_AcTlN
_space_group_name_H-M_alt 'P 1'
_space_group_IT_number 1
_cell_length_a 3.6345
_cell_length_b 3.6345
_cell_length_c 6.7648
_cell_angle_alpha 105.58
_cell_angle_beta 105.58
_cell_angle_gamma 90.00
loop_
_space_group_symop_operation_xyz
'x,y,z'
loop_
_atom_site_label
_atom_site_type_symbol
_atom_site_fract_x
_atom_site_fract_y
_atom_site_fract_z
Ac1 Ac 0.7556 0.7556 0.5112
N1 N 0.2162 0.2162 0.4324
Tl1 Tl 0.0282 0.0282 0.0564
# excess energy over the best structure of this formula in the dataset = 74 meV/atom
# uncorrected energy = -16.3 eV for the cell shown
# ΔE_f (raw) = -1.465 eV/f.u.
# crystal system = tetragonal

(3)
# PBE GaPt, optimized geometry
data_GaPt
_space_group_name_H-M_alt 'P 1'
_space_group_IT_number 1
_cell_length_a 5.5883
_cell_length_b 13.6377
_cell_length_c 10.0272
_cell_angle_alpha 90.00
_cell_angle_beta 90.00
_cell_angle_gamma 90.00
loop_
_space_group_symop_operation_xyz
'x,y,z'
loop_
_atom_site_label
_atom_site_type_symbol
_atom_site_fract_x
_atom_site_fract_y
_atom_site_fract_z
Pt1 Pt 0.2500 0.6405 0.2500
Ga1 Ga 0.7500 0.7500 0.9506
Pt2 Pt 0.7500 0.3595 0.2500
Pt3 Pt 0.0000 0.1095 0.0000
Pt4 Pt 0.7500 0.1405 0.2500
Pt5 Pt 0.2500 0.8595 0.2500
Pt6 Pt 0.0000 0.8905 0.0000
Ga2 Ga 0.0000 0.0000 0.2006
Pt7 Pt 0.0000 0.3905 0.5000
Ga3 Ga 0.5000 0.5000 0.7994
Pt8 Pt 0.5000 0.3905 0.0000
Ga4 Ga 0.5000 0.0000 0.7006
Ga5 Ga 0.5000 0.5000 0.2006
Pt9 Pt 0.2500 0.3595 0.7500
Pt10 Pt 0.5000 0.6095 0.0000
Ga6 Ga 0.2500 0.7500 0.4506
Pt11 Pt 0.0000 0.6095 0.5000
Pt12 Pt 0.5000 0.8905 0.5000
Pt13 Pt 0.7500 0.6405 0.7500
Ga7 Ga 0.2500 0.2500 0.5494
Ga8 Ga 0.7500 0.2500 0.0494
Ga9 Ga 0.2500 0.2500 0.9506
Ga10 Ga 0.5000 0.0000 0.2994
Ga11 Ga 0.7500 0.2500 0.4506
Ga12 Ga 0.7500 0.7500 0.5494
Pt14 Pt 0.7500 0.8595 0.7500
Pt15 Pt 0.5000 0.1095 0.5000
Pt16 Pt 0.2500 0.1405 0.7500
Ga13 Ga 0.0000 0.0000 0.7994
Ga14 Ga 0.2500 0.7500 0.0494
Ga15 Ga 0.0000 0.5000 0.7006
Ga16 Ga 0.0000 0.5000 0.2994
# ΔH_f (0 K) = -0.29 eV per atom
# uncorrected energy = -154.4 eV for the cell shown
# crystal system = orthorhombic

(4)
# PBE Rb2TlBiCl6, optimized geometry
data_Rb2TlBiCl6
_space_group_name_H-M_alt 'P 1'
_space_group_IT_number 1
_cell_length_a 8.1387
_cell_length_b 8.1387
_cell_length_c 8.1386
_cell_angle_alpha 60.00
_cell_angle_beta 60.00
_cell_angle_gamma 90.00
loop_
_space_group_symop_operation_xyz
'x,y,z'
loop_
_atom_site_label
_atom_site_type_symbol
_atom_site_fract_x
_atom_site_fract_y
_atom_site_fract_z
Cl1 Cl 0.7640 0.7640 0.0000
Cl2 Cl 0.2360 0.7640 0.0000
Cl3 Cl 0.2360 0.2360 0.5279
Tl1 Tl 0.5000 0.5000 0.0000
Cl4 Cl 0.7640 0.7640 0.4721
Cl5 Cl 0.7640 0.2360 0.0000
Rb1 Rb 0.2500 0.7500 0.5000
Rb2 Rb 0.7500 0.2500 0.5000
Bi1 Bi 0.0000 0.0000 0.0000
Cl6 Cl 0.2360 0.2360 0.0000
# excess energy over the best structure of this formula in the dataset = 52 meV/atom
# uncorrected energy = -33.1 eV for the cell shown
# ΔE_f (raw) = -13.860 eV/f.u.
# crystal system = cubic

(5)
# PBE Sr2AgHg6, optimized geometry
data_Sr2AgHg6
_space_group_name_H-M_alt 'P 1'
_space_group_IT_number 1
_cell_length_a 4.0103
_cell_length_b 8.4538
_cell_length_c 8.8331
_cell_angle_alpha 118.59
_cell_angle_beta 89.90
_cell_angle_gamma 90.00
loop_
_space_group_symop_operation_xyz
'x,y,z'
loop_
_atom_site_label
_atom_site_type_symbol
_atom_site_fract_x
_atom_site_fract_y
_atom_site_fract_z
Hg1 Hg 0.9984 0.6598 0.7009
Hg2 Hg 0.5000 0.3004 0.0000
Hg3 Hg 0.0016 0.9590 0.2991
Hg4 Hg 0.0016 0.3402 0.2991
Sr1 Sr 0.5005 0.7008 0.4016
Hg5 Hg 0.5000 0.6996 0.0000
Hg6 Hg 0.9984 0.0410 0.7009
Ag1 Ag 0.0000 0.0000 0.0000
Sr2 Sr 0.4995 0.2992 0.5984
# ΔH_f (0 K) = -0.24 eV per atom
# excess energy over the best structure of this formula in the dataset = 71 meV/atom
# uncorrected energy = -10.1 eV for the cell shown
# crystal system = monoclinic

(6)
# PBE Ca2TmTl3, optimized geometry
data_Ca2TmTl3
_space_group_name_H-M_alt 'P 1'
_space_group_IT_number 1
_cell_length_a 3.9076
_cell_length_b 7.3716
_cell_length_c 13.2826
_cell_angle_alpha 90.00
_cell_angle_beta 98.46
_cell_angle_gamma 90.00
loop_
_space_group_symop_operation_xyz
'x,y,z'
loop_
_atom_site_label
_atom_site_type_symbol
_atom_site_fract_x
_atom_site_fract_y
_atom_site_fract_z
Tl1 Tl 0.7514 0.7500 0.5028
Tl2 Tl 0.5704 0.5399 0.1409
Ca1 Ca 0.1534 0.7500 0.3069
Tl3 Tl 0.2486 0.2500 0.4972
Ca2 Ca 0.8466 0.2500 0.6931
Tm1 Tm 0.6551 0.2500 0.3102
Ca3 Ca 0.9834 0.7500 0.9667
Tl4 Tl 0.4296 0.0399 0.8591
Tm2 Tm 0.3449 0.7500 0.6898
Tl5 Tl 0.4296 0.4601 0.8591
Ca4 Ca 0.0166 0.2500 0.0333
Tl6 Tl 0.5704 0.9601 0.1409
# ΔH_f (0 K) = -0.21 eV per atom
# excess energy over the best structure of this formula in the dataset = 179 meV/atom
# uncorrected energy = -33.7 eV for the cell shown
# crystal system = orthorhombic

(7)
# PBE La6Te2C, optimized geometry
data_La6Te2C
_space_group_name_H-M_alt 'P 1'
_space_group_IT_number 1
_cell_length_a 6.6612
_cell_length_b 8.2644
_cell_length_c 10.2218
_cell_angle_alpha 90.00
_cell_angle_beta 91.77
_cell_angle_gamma 90.00
loop_
_space_group_symop_operation_xyz
'x,y,z'
loop_
_atom_site_label
_atom_site_type_symbol
_atom_site_fract_x
_atom_site_fract_y
_atom_site_fract_z
La1 La 0.6126 0.4768 0.2472
La2 La 0.8632 0.7133 0.5432
La3 La 0.6663 0.1688 0.5316
La4 La 0.8337 0.6688 0.9684
La5 La 0.6368 0.2133 0.9568
La6 La 0.1663 0.3312 0.0316
La7 La 0.3337 0.8312 0.4684
Te1 Te 0.4193 0.1058 0.2434
Te2 Te 0.9193 0.3942 0.7434
C1 C 0.0000 0.0000 0.5000
Te3 Te 0.5807 0.8942 0.7566
La8 La 0.1126 0.0232 0.7472
La9 La 0.3874 0.5232 0.7528
Te4 Te 0.0807 0.6058 0.2566
La10 La 0.3632 0.7867 0.0432
La11 La 0.1368 0.2867 0.4568
C2 C 0.5000 0.5000 0.0000
La12 La 0.8874 0.9768 0.2528
# uncorrected energy = -103.0 eV for the cell shown
# ΔE_f (raw) = -6.439 eV/f.u.
# crystal system = monoclinic

(8)
# PBE Dy3InCu, optimized geometry
data_Dy3InCu
_space_group_name_H-M_alt 'P 1'
_space_group_IT_number 1
_cell_length_a 7.6872
_cell_length_b 8.5417
_cell_length_c 8.5417
_cell_angle_alpha 82.12
_cell_angle_beta 90.00
_cell_angle_gamma 90.00
loop_
_space_group_symop_operation_xyz
'x,y,z'
loop_
_atom_site_label
_atom_site_type_symbol
_atom_site_fract_x
_atom_site_fract_y
_atom_site_fract_z
Dy1 Dy 0.4055 0.4800 0.2963
Dy2 Dy 0.9055 0.2963 0.4800
Dy3 Dy 0.7085 0.9269 0.5731
In1 In 0.2500 0.3316 0.6684
Dy4 Dy 0.7915 0.4269 0.0731
Dy5 Dy 0.4055 0.2037 0.0200
Dy6 Dy 0.0945 0.9800 0.7963
Cu1 Cu 0.8834 0.6934 0.8067
Cu2 Cu 0.6166 0.1933 0.3066
Dy7 Dy 0.5945 0.7963 0.9800
In2 In 0.7500 0.1684 0.8316
Cu3 Cu 0.1166 0.3066 0.1933
Dy8 Dy 0.2915 0.0731 0.4269
Dy9 Dy 0.0945 0.7037 0.5200
In3 In 0.2500 0.8316 0.1684
In4 In 0.7500 0.6684 0.3316
Dy10 Dy 0.2085 0.5731 0.9269
Cu4 Cu 0.3834 0.8067 0.6934
Dy11 Dy 0.9055 0.0200 0.2037
Dy12 Dy 0.5945 0.5200 0.7037
# ΔH_f (0 K) = -0.15 eV per atom
# uncorrected energy = -85.6 eV for the cell shown
# crystal system = orthorhombic

(9)
# PBE HfMg3Nb, optimized geometry
data_HfMg3Nb
_space_group_name_H-M_alt 'P 1'
_space_group_IT_number 1
_cell_length_a 5.0588
_cell_length_b 5.0588
_cell_length_c 5.0588
_cell_angle_alpha 90.00
_cell_angle_beta 90.00
_cell_angle_gamma 90.00
loop_
_space_group_symop_operation_xyz
'x,y,z'
loop_
_atom_site_label
_atom_site_type_symbol
_atom_site_fract_x
_atom_site_fract_y
_atom_site_fract_z
Mg1 Mg 0.0000 0.0000 0.5000
Mg2 Mg 0.0000 0.5000 0.0000
Mg3 Mg 0.5000 0.0000 0.0000
Nb1 Nb 0.0000 0.0000 0.0000
Hf1 Hf 0.5000 0.5000 0.5000
# ΔH_f (0 K) = 1.36 eV per atom
# excess energy over the best structure of this formula in the dataset = 0 meV/atom
# uncorrected energy = -18.0 eV for the cell shown
# crystal system = cubic

(10)
# PBE AlFeRh2, optimized geometry
data_AlFeRh2
_space_group_name_H-M_alt 'P 1'
_space_group_IT_number 1
_cell_length_a 4.2747
_cell_length_b 4.2747
_cell_length_c 4.2747
_cell_angle_alpha 60.00
_cell_angle_beta 60.00
_cell_angle_gamma 60.00
loop_
_space_group_symop_operation_xyz
'x,y,z'
loop_
_atom_site_label
_atom_site_type_symbol
_atom_site_fract_x
_atom_site_fract_y
_atom_site_fract_z
Al1 Al 0.5000 0.5000 0.5000
Rh1 Rh 0.0000 0.0000 0.0000
Fe1 Fe 0.7500 0.7500 0.7500
Rh2 Rh 0.2500 0.2500 0.2500
# ΔH_f (0 K) = -0.22 eV per atom
# uncorrected energy = -27.8 eV for the cell shown
# crystal system = cubic

- Which value of uncorrected energy does entry 10 give?
  -27.8 eV for the cell shown